Entry from the Alexandria database: a geometry-optimized Pr3Nd3YS8 structure (GGA-PBE).

a = 8.1338 Å, b = 8.1338 Å, c = 19.9833 Å
α = 90.00°, β = 90.00°, γ = 120.00°
Space group R-3m (No. 166, hexagonal axes)
Unique sites:
Pr 0.0000 0.5000 0.0000 x9
Nd 0.0000 0.5000 0.5000 x9
Y 0.0000 0.0000 0.5000 x3
S 0.0000 0.0000 0.2490 x6
S 0.0092 0.5046 0.2467 x18

## Properties
Raw formation energy: -2.05 eV per atom
Magnetic moment: 0.00 μB/f.u.